Material: Na3MoO4
Method: DFT, meta-GGA SCAN
State: single point on PBEsol structure

ΔE_f (raw)	-1989.8	meV/atom
ρ	3.04	g/cm³
SG	Pmn2_1, No. 31
calculated volume	15.61	A^3/atom
final energy	-11.05	eV per atom
total moment	1.00	μB per formula unit

```
Na3MoO4
1.0
7.4990 0.0000 0.0000
0.0000 5.9362 0.0000
0.0000 0.0000 5.6098
Na Mo O
6 2 8
Direct
0.0000 0.1445 0.0000 Na
0.2430 0.3359 0.4849 Na
0.2570 0.6641 0.9849 Na
0.5000 0.8555 0.5000 Na
0.7430 0.6641 0.9849 Na
0.7570 0.3359 0.4849 Na
0.0000 0.8292 0.4780 Mo
0.5000 0.1708 0.9780 Mo
0.0000 0.1177 0.5904 O
0.0000 0.7709 0.1596 O
0.2153 0.7168 0.5743 O
0.2847 0.2832 0.0743 O
0.5000 0.2291 0.6596 O
0.5000 0.8823 0.0904 O
0.7153 0.2832 0.0743 O
0.7847 0.7168 0.5743 O
```

***

Material: Na2Mo2O7
Method: DFT, meta-GGA SCAN
State: single point on PBEsol structure

ΔE_f (raw)	-2215.9	meV/atom
ρ	3.70	g/cm³
SG	Cmce, No. 64
calculated volume	14.26	A^3/atom
final energy	-13.29	eV per atom
total moment	0.00	μB per formula unit

```
Na2Mo2O7
1.0
3.5897 -5.9209 0.0000
3.5897 5.9209 0.0000
0.0000 0.0000 14.7601
Na Mo O
8 8 28
Direct
0.1771 0.8229 0.8453 Na
0.2477 0.2477 0.0000 Na
0.2523 0.2523 0.5000 Na
0.3229 0.6771 0.3453 Na
0.6771 0.3229 0.6547 Na
0.7477 0.7477 0.5000 Na
0.7523 0.7523 0.0000 Na
0.8229 0.1771 0.1547 Na
0.1653 0.3347 0.7500 Mo
0.2470 0.7530 0.0856 Mo
0.2530 0.7470 0.5856 Mo
0.3347 0.1653 0.2500 Mo
0.6653 0.8347 0.7500 Mo
0.7470 0.2530 0.4144 Mo
0.7530 0.2470 0.9144 Mo
0.8347 0.6653 0.2500 Mo
0.0313 0.5661 0.1559 O
0.0661 0.5313 0.6559 O
0.1231 0.8769 0.2819 O
0.1231 0.8769 0.5313 O
0.1401 0.8599 0.0028 O
0.1935 0.2054 0.1622 O
0.2054 0.1935 0.8378 O
0.2946 0.3065 0.3378 O
0.3065 0.2946 0.6622 O
0.3599 0.6401 0.5028 O
0.3769 0.6231 0.0313 O
0.3769 0.6231 0.7819 O
0.4339 0.9687 0.1559 O
0.4687 0.9339 0.6559 O
0.5313 0.0661 0.3441 O
0.5661 0.0313 0.8441 O
0.6231 0.3769 0.2181 O
0.6231 0.3769 0.9687 O
0.6401 0.3599 0.4972 O
0.6935 0.7054 0.3378 O
0.7054 0.6935 0.6622 O
0.7946 0.8065 0.1622 O
0.8065 0.7946 0.8378 O
0.8599 0.1401 0.9972 O
0.8769 0.1231 0.4687 O
0.8769 0.1231 0.7181 O
0.9339 0.4687 0.3441 O
0.9687 0.4339 0.8441 O
```

***

Material: Na2MoO4
Method: DFT, meta-GGA SCAN
State: single point on PBEsol structure

ΔE_f (raw)	-2212.6	meV/atom
relative energy among the computed polymorphs	0.040	eV per atom
ρ	3.26	g/cm³
SG	Fddd, No. 70
calculated volume	14.99	A^3/atom
final energy	-11.96	eV per atom
total moment	0.00	μB per formula unit

```
Na2MoO4
1.0
0.0000 5.1740 6.3387
3.1987 0.0000 6.3387
3.1987 5.1740 0.0000
Na Mo O
4 2 8
Direct
0.0559 0.6941 0.0559 Na
0.3059 0.9441 0.3059 Na
0.6941 0.0559 0.6941 Na
0.9441 0.3059 0.9441 Na
0.3750 0.3750 0.3750 Mo
0.6250 0.6250 0.6250 Mo
0.1915 0.7132 0.3513 O
0.2440 0.3513 0.7132 O
0.2868 0.8085 0.7560 O
0.3513 0.2440 0.1915 O
0.6487 0.7560 0.8085 O
0.7132 0.1915 0.2440 O
0.7560 0.6487 0.2868 O
0.8085 0.2868 0.6487 O
```

***

Material: NaMo2P4O14
Method: DFT, meta-GGA SCAN
State: single point on PBEsol structure

ΔE_f (raw)	-2325.6	meV/atom
ρ	3.40	g/cm³
SG	P1, No. 1
calculated volume	13.07	A^3/atom
final energy	-11.98	eV per atom
total moment	5.00	μB per formula unit

```
NaMo2P4O14
1.0
4.9443 0.0000 0.0000
-1.9300 6.7182 0.0000
-0.3919 -0.3070 8.2626
Na Mo P O
1 2 4 14
Direct
0.0000 0.0000 0.0000 Na
0.3380 0.5101 0.9720 Mo
0.8336 0.0077 0.4737 Mo
0.2158 0.7648 0.2793 P
0.4504 0.2467 0.6684 P
0.8235 0.3759 0.2142 P
0.8488 0.6372 0.7309 P
0.0306 0.9081 0.2893 O
0.0373 0.5467 0.3278 O
0.0935 0.5573 0.7846 O
0.2003 0.2028 0.5461 O
0.2838 0.7536 0.1000 O
0.3713 0.2585 0.8456 O
0.4678 0.8103 0.3993 O
0.5832 0.4584 0.1576 O
0.6288 0.4666 0.6220 O
0.6371 0.1064 0.6546 O
0.6933 0.6891 0.8761 O
0.7219 0.1985 0.3182 O
0.9467 0.8146 0.6260 O
0.9912 0.3273 0.0736 O
```